Record 1
Sr2ZnIn after structural relaxation. Source: Alexandria via LeMat-Bulk, functional PBEsol. Values from VASP.

Results
DOS at the Fermi energy	0.73	states/eV/atom
DFT formation energy	-0.299	eV/atom

Structure (Quantum ESPRESSO input):
```
&SYSTEM
  ibrav = 0, nat = 4, ntyp = 3
/
ATOMIC_SPECIES
Sr 87.62 Sr.upf
Zn 65.41 Zn.upf
In 114.82 In.upf
CELL_PARAMETERS angstrom
3.824 0.000 0.000
0.000 3.824 0.000
0.000 0.000 8.170
ATOMIC_POSITIONS angstrom
Sr 0.000 0.000 1.924
Sr 0.000 0.000 6.246
Zn 1.912 1.912 0.000
In 1.912 1.912 4.085
```

***

Record 2
SrZrIn2 after structural relaxation. Source: Alexandria via LeMat-Bulk, functional PBEsol. Values from VASP.

Results
DOS at the Fermi energy	0.84	states/eV/atom
DFT formation energy	-0.084	eV/atom

Structure (Quantum ESPRESSO input):
```
&SYSTEM
  ibrav = 0, nat = 4, ntyp = 3
/
ATOMIC_SPECIES
Sr 87.62 Sr.upf
Zr 91.22 Zr.upf
In 114.82 In.upf
CELL_PARAMETERS angstrom
-1.805 2.603 5.444
1.805 -2.603 5.444
1.805 2.603 -5.444
ATOMIC_POSITIONS angstrom
Sr 0.000 0.000 0.000
Zr 1.805 0.000 2.951
In 0.000 0.000 5.666
In 0.000 2.603 2.594
```

***

Record 3
SrZrIn2 after structural relaxation. Source: Alexandria via LeMat-Bulk, functional PBEsol. Values from VASP.

Results
DOS at the Fermi energy	0.53	states/eV/atom
DFT formation energy	-0.197	eV/atom

Structure (Quantum ESPRESSO input):
```
&SYSTEM
  ibrav = 0, nat = 4, ntyp = 3
/
ATOMIC_SPECIES
Sr 87.62 Sr.upf
Zr 91.22 Zr.upf
In 114.82 In.upf
CELL_PARAMETERS angstrom
5.476 0.000 0.000
0.000 5.476 0.000
0.000 0.000 3.336
ATOMIC_POSITIONS angstrom
Sr 0.000 0.000 0.000
Zr 2.738 2.738 0.000
In 0.000 2.738 1.668
In 2.738 0.000 1.668
```

***

Record 4
Ta3In after structural relaxation. Source: Alexandria via LeMat-Bulk, functional PBEsol. Values from VASP.

Results
DOS at the Fermi energy	0.94	states/eV/atom
DFT formation energy	0.067	eV/atom

Structure (Quantum ESPRESSO input):
```
&SYSTEM
  ibrav = 0, nat = 4, ntyp = 2
/
ATOMIC_SPECIES
Ta 180.95 Ta.upf
In 114.82 In.upf
CELL_PARAMETERS angstrom
1.701 -2.330 0.000
1.701 2.330 0.000
0.000 0.000 9.278
ATOMIC_POSITIONS angstrom
Ta 0.000 0.000 0.000
Ta 1.701 0.000 2.234
Ta 1.701 0.000 7.043
In 0.000 0.000 4.639
```